Density functional theory data (PBE-GGA) for a relaxed HPdO2 crystal.

```
HPdO2
1.0
-2.5607 0.2400 1.0904
1.9301 -1.5493 1.2954
1.8646 5.0543 3.2667
H Pd O
1 1 2
Direct
0.0000 0.0000 0.8453
0.3333 0.6667 0.4975
0.3333 0.6667 0.8166
0.6667 0.3333 0.2956
```

Total DFT energy (no corrections) (eV/atom): -4.317
Symmetry: P3m1 (156)

***

Density functional theory data (PBE-GGA) for a relaxed HPdO2 crystal.

```
HPdO2
1.0
1.5529 0.0000 5.6173
-0.7764 1.3448 5.6173
-0.7764 -1.3448 5.6173
Pd H O
1 1 2
Direct
0.0000 0.0000 0.0000
0.5000 0.5000 0.5000
0.8892 0.8892 0.8892
0.1108 0.1108 0.1108
```

Total DFT energy (no corrections) (eV/atom): -4.103
Symmetry: R-3m (166)

***

Density functional theory data (PBE-GGA) for a relaxed HPdO2 crystal.

```
HPdO2
1.0
13.8251 0.0000 -1.3617
2.4674 3.7715 -3.4329
-2.4674 3.7715 3.4329
O Pd H
16 8 8
Direct
0.7500 0.5707 0.0707
0.4765 0.6031 0.2573
0.5127 0.9054 0.7621
0.2500 0.4293 0.9293
0.0127 0.7379 0.5946
0.2500 0.8636 0.3636
0.7024 0.7016 0.5596
0.2024 0.9404 0.7984
0.7500 0.1364 0.6364
0.9765 0.2427 0.8969
0.5235 0.3969 0.7427
0.2976 0.2984 0.4404
0.7976 0.0596 0.2016
0.9873 0.2621 0.4054
0.0235 0.7573 0.1031
0.4873 0.0946 0.2379
0.1477 0.5546 0.5031
0.6477 0.9969 0.9454
0.8523 0.4454 0.4969
0.3523 0.0031 0.0546
0.8906 0.1638 0.0585
0.6094 0.5585 0.6638
0.1094 0.8362 0.9415
0.3906 0.4415 0.3362
0.2373 0.8610 0.5244
0.7373 0.9756 0.6390
0.1179 0.1002 0.6471
0.8821 0.8998 0.3529
0.7627 0.1390 0.4756
0.6179 0.8529 0.3998
0.2627 0.0244 0.3610
0.3821 0.1471 0.6002
```

Total DFT energy (no corrections) (eV/atom): -5.065
Symmetry: C2/c (15)

***

Density functional theory data (PBE-GGA) for a relaxed HPdO2 crystal.

```
HPdO2
1.0
-2.1160 -0.5286 -11.9471
-1.3965 -5.1426 -1.5324
-4.7561 0.2678 2.8377
H O Pd
8 16 8
Direct
0.8585 0.2269 0.7126
0.1415 0.7731 0.2874
0.3585 0.7874 0.2731
0.6415 0.2126 0.7269
0.5933 0.7378 0.6949
0.4067 0.2622 0.3051
0.0933 0.8051 0.7622
0.9067 0.1949 0.2378
0.0826 0.6786 0.1942
0.3391 0.3371 0.3824
0.2500 0.8876 0.3876
0.6609 0.6629 0.6176
0.2500 0.2294 0.7294
0.5051 0.1717 0.1798
0.7500 0.7706 0.2706
0.8391 0.1176 0.1629
0.4174 0.6942 0.1786
0.0051 0.3202 0.3283
0.9174 0.3214 0.8058
0.9949 0.6798 0.6717
0.7500 0.1124 0.6124
0.1609 0.8824 0.8371
0.5826 0.3058 0.8214
0.4949 0.8283 0.8202
0.0820 0.2820 0.7712
0.8273 0.7201 0.7027
0.1727 0.2799 0.2973
0.4180 0.2712 0.7820
0.9180 0.7180 0.2288
0.3273 0.7973 0.7799
0.6727 0.2027 0.2201
0.5820 0.7288 0.2180
```

Total DFT energy (no corrections) (eV/atom): -5.106
Symmetry: C2/c (15)

***

Density functional theory data (PBE-GGA) for a relaxed HPdO2 crystal.

```
HPdO2
1.0
-2.6814 -0.9402 1.1348
1.2544 -4.3281 0.6499
2.5767 0.1970 5.8390
O H Pd
4 2 2
Direct
0.1635 0.4814 0.6780
0.7682 0.0339 0.4806
0.2630 0.8996 0.8878
0.7055 0.3182 0.0596
0.2453 0.7182 0.8144
0.8599 0.8099 0.5285
0.7193 0.1895 0.7765
0.2374 0.1688 0.2570
```

Total DFT energy (no corrections) (eV/atom): -5.168
Symmetry: P1 (1)

***

Density functional theory data (PBE-GGA) for a relaxed HPdO2 crystal.

```
HPdO2
1.0
3.1054 -0.0010 0.0001
0.0017 4.8132 -0.1983
0.0004 1.7752 6.0220
O Pd H
4 2 2
Direct
0.1828 0.9360 0.8853
0.6828 0.3304 0.0662
0.6828 0.0918 0.4831
0.1828 0.5006 0.6800
0.6828 0.2093 0.7755
0.1828 0.2112 0.2732
0.1828 0.7817 0.8017
0.1827 0.5584 0.5174
```

Total DFT energy (no corrections) (eV/atom): -5.177
Symmetry: Pm (6)

***

Density functional theory data (PBE-GGA) for a relaxed HPdO2 crystal.

```
HPdO2
1.0
-1.5101 -2.6311 2.7593
2.6090 -2.8773 -1.3158
3.3320 -1.4823 3.4575
H Pd O
2 2 4
Direct
0.2500 0.7500 0.5000
0.5000 0.5000 0.0000
0.0000 0.0000 0.0000
0.7500 0.2500 0.5000
0.6477 0.6477 0.7047
0.3977 0.8977 0.2047
0.3523 0.3523 0.2953
0.1023 0.6023 0.7953
```

Total DFT energy (no corrections) (eV/atom): -4.544
Symmetry: I4_1/amd (141)

***

Density functional theory data (PBE-GGA) for a relaxed HPdO2 crystal.

```
HPdO2
1.0
5.1112 0.0000 0.0000
0.0000 5.1112 0.0000
2.5556 2.5556 2.6682
H O Pd
2 4 2
Direct
0.7500 0.7500 0.5000
0.2500 0.2500 0.5000
0.7500 0.7500 0.0000
0.2500 0.2500 0.0000
0.2500 0.7500 0.0000
0.7500 0.2500 0.0000
0.7500 0.2500 0.5000
0.2500 0.7500 0.5000
```

Total DFT energy (no corrections) (eV/atom): -3.842
Symmetry: P4/mmm (123)